Below is a relaxed structure of AgWCl2, with properties calculated at the PBE level.

calculated volume: 19.32 Å³ per atom
E above lowest polymorph: 1.1359 eV per atom
formation energy without anion corrections: 1.18 eV per atom

a = 6.761 Å, b = 6.761 Å, c = 6.761 Å
α = 90.00°, β = 90.00°, γ = 90.00°
Space group F-43m (No. 216)
One atom of each set of equivalent atoms:
1 Ag 0.000 0.000 0.000 [4 per cell]
2 W 0.250 0.250 0.250 [4 per cell]
3 Cl 0.000 0.000 0.500 [4 per cell]
4 Cl 0.250 0.250 0.750 [4 per cell]